Run A
VASP calculation (PBE) on a relaxed structure of TlPt3Cl.

The structure in POSCAR format:
```
TlPt3Cl
1.0
4.679 0.000 0.000
0.000 4.679 0.000
0.000 0.000 4.679
Tl Pt Cl
1 3 1
Cartesian
0.000 0.000 0.000 Tl
0.000 2.339 2.339 Pt
2.339 0.000 2.339 Pt
2.339 2.339 0.000 Pt
2.339 2.339 2.339 Cl
```

## Properties
- V: 102 Å³/f.u.
- Space-group type: Pm-3m



Run B
VASP calculation (PBE) on a relaxed structure of TlPt3Cl.

The structure in POSCAR format:
```
TlPt3Cl
1.0
5.118 0.000 0.000
0.000 5.118 0.000
0.000 0.000 5.118
Tl Pt Cl
1 3 1
Cartesian
0.000 0.000 0.000 Tl
0.000 0.000 2.559 Pt
0.000 2.559 0.000 Pt
2.559 0.000 0.000 Pt
2.559 2.559 2.559 Cl
```

## Properties
- V: 134 Å³/f.u.
- Space-group type: Pm-3m



Decreasing stability: run A, run B



Run A
VASP calculation (PBE) on a relaxed structure of TlPt2Cl2.

The structure in POSCAR format:
```
TlPt2Cl2
1.0
-2.212 2.212 5.660
2.212 -2.212 5.660
2.212 2.212 -5.660
Tl Pt Cl
1 2 2
Cartesian
0.000 0.000 0.000 Tl
0.000 0.000 4.423 Pt
0.000 0.000 6.898 Pt
2.212 0.000 2.830 Cl
0.000 2.212 2.830 Cl
```

## Properties
- V: 111 Å³/f.u.
- Space-group type: I4/mmm



Run B
VASP calculation (PBE) on a relaxed structure of TlPt2Cl2.

The structure in POSCAR format:
```
TlPt2Cl2
1.0
8.528 0.000 0.000
0.000 8.528 0.000
0.000 0.000 3.209
Tl Pt Cl
2 4 4
Cartesian
0.000 0.000 0.000 Tl
4.264 4.264 0.000 Tl
0.875 3.390 0.000 Pt
3.390 7.654 0.000 Pt
5.139 0.875 0.000 Pt
7.654 5.139 0.000 Pt
2.130 2.134 1.604 Cl
2.134 6.398 1.604 Cl
6.394 2.130 1.604 Cl
6.398 6.394 1.604 Cl
```

## Properties
- V: 117 Å³/f.u.
- Space-group type: P4/mbm



Decreasing stability: run B, run A



Run A
VASP calculation (PBE) on a relaxed structure of VPt2Cl.

The structure in POSCAR format:
```
VPt2Cl
1.0
-3.179 3.179 4.115
3.179 -3.179 4.115
3.179 3.179 -4.115
V Pt Cl
2 4 2
Cartesian
0.000 0.000 0.000 V
0.000 3.179 2.058 V
4.769 1.392 -1.029 Pt
1.392 1.590 1.029 Pt
-1.590 1.787 3.086 Pt
1.787 1.590 5.144 Pt
3.179 0.000 2.058 Cl
0.000 0.000 4.115 Cl
```

## Properties
- V: 83 Å³/f.u.
- Space-group type: I-42d



Run B
VASP calculation (PBE) on a relaxed structure of VPt2Cl.

The structure in POSCAR format:
```
VPt2Cl
1.0
0.000 3.185 3.185
3.185 0.000 3.185
3.185 3.185 0.000
V Pt Cl
1 2 1
Cartesian
0.000 0.000 0.000 V
1.593 1.593 1.593 Pt
4.778 4.778 4.778 Pt
3.185 3.185 3.185 Cl
```

## Properties
- V: 65 Å³/f.u.
- Space-group type: Fm-3m



Decreasing stability: run A, run B



Run A
VASP calculation (PBE) on a relaxed structure of VPtCl3.

The structure in POSCAR format:
```
VPtCl3
1.0
4.770 0.000 0.000
0.000 4.770 0.000
0.000 0.000 4.770
V Pt Cl
1 1 3
Cartesian
0.000 0.000 0.000 V
2.385 2.385 2.385 Pt
0.000 0.000 2.385 Cl
0.000 2.385 0.000 Cl
2.385 0.000 0.000 Cl
```

## Properties
- V: 109 Å³/f.u.
- Space-group type: Pm-3m



Run B
VASP calculation (PBE) on a relaxed structure of VPtCl3.

The structure in POSCAR format:
```
VPtCl3
1.0
4.905 0.000 0.000
0.000 4.905 0.000
0.000 0.000 4.905
V Pt Cl
1 1 3
Cartesian
0.000 0.000 0.000 V
2.452 2.452 2.452 Pt
0.000 2.452 2.452 Cl
2.452 0.000 2.452 Cl
2.452 2.452 0.000 Cl
```

## Properties
- V: 118 Å³/f.u.
- Space-group type: Pm-3m



Decreasing stability: run A, run B



Run A
VASP calculation (PBE) on a relaxed structure of PtW2Cl.

The structure in POSCAR format:
```
PtW2Cl
1.0
4.334 0.000 0.000
0.000 1.395 5.243
0.000 -1.395 5.243
Pt W Cl
1 2 1
Cartesian
0.000 0.000 0.000 Pt
0.000 0.000 2.693 W
2.167 0.000 6.322 W
2.167 0.000 3.832 Cl
```

## Properties
- V: 63 Å³/f.u.
- Space-group type: Amm2



Run B
VASP calculation (PBE) on a relaxed structure of PtW2Cl.

The structure in POSCAR format:
```
PtW2Cl
1.0
4.712 0.000 0.000
0.000 4.712 0.000
0.000 0.000 2.812
Pt W Cl
1 2 1
Cartesian
0.000 0.000 0.000 Pt
0.000 2.356 1.406 W
2.356 0.000 1.406 W
2.356 2.356 0.000 Cl
```

## Properties
- V: 62 Å³/f.u.
- Space-group type: P4/mmm



Run C
VASP calculation (PBE) on a relaxed structure of PtW2Cl.

The structure in POSCAR format:
```
PtW2Cl
1.0
1.408 -2.524 0.000
1.408 2.524 0.000
0.000 0.000 9.242
Pt W Cl
1 2 1
Cartesian
0.000 0.000 0.000 Pt
1.408 0.000 2.341 W
1.408 0.000 6.900 W
0.000 0.000 4.621 Cl
```

## Properties
- V: 66 Å³/f.u.
- Space-group type: Cmmm



Decreasing stability: run A, run C, run B



Run A
VASP calculation (PBE) on a relaxed structure of PtW2Cl.

The structure in POSCAR format:
```
PtW2Cl
1.0
2.825 0.000 0.000
0.000 3.973 0.000
-0.010 0.000 5.897
Pt W Cl
1 2 1
Cartesian
0.000 0.000 0.000 Pt
1.403 1.986 4.568 W
1.412 1.986 1.329 W
1.408 0.000 2.948 Cl
```

## Properties
- V: 66 Å³/f.u.
- Space-group type: P2/m



Run B
VASP calculation (PBE) on a relaxed structure of PtW2Cl.

The structure in POSCAR format:
```
PtW2Cl
1.0
1.438 0.830 8.759
-1.438 0.830 8.759
0.000 -1.661 8.759
Pt W Cl
1 2 1
Cartesian
0.000 0.000 0.000 Pt
0.000 0.000 6.523 W
0.000 0.000 19.754 W
0.000 0.000 13.139 Cl
```

## Properties
- V: 63 Å³/f.u.
- Space-group type: R-3m



Run C
VASP calculation (PBE) on a relaxed structure of PtW2Cl.

The structure in POSCAR format:
```
PtW2Cl
1.0
2.860 0.000 0.000
0.000 2.860 0.000
0.000 0.000 8.966
Pt W Cl
1 2 1
Cartesian
0.000 0.000 0.000 Pt
0.000 0.000 3.824 W
1.430 1.430 1.816 W
1.430 1.430 5.519 Cl
```

## Properties
- V: 73 Å³/f.u.
- Space-group type: P4mm



Decreasing stability: run C, run B, run A